# CoB2Pb2O6 PBE with a Hubbard U optimized geometry
# Space group   R-3m
# Raw total energy   -6.678 eV/atom
# Crystal system   trigonal
data_CoB2Pb2O6
_cell_length_a 6.325
_cell_length_b 6.325
_cell_length_c 6.325
_cell_angle_alpha 49.24
_cell_angle_beta 49.24
_cell_angle_gamma 49.24
_symmetry_space_group_name_H-M 'P 1'
_symmetry_Int_Tables_number 1
loop_
_symmetry_equiv_pos_as_xyz
'x,y,z'
loop_
_atom_site_label
_atom_site_fract_x
_atom_site_fract_y
_atom_site_fract_z
Co1 0.000 0.000 0.000
B1 0.412 0.412 0.412
B2 0.588 0.588 0.588
Pb1 0.218 0.218 0.218
Pb2 0.782 0.782 0.782
O1 0.261 0.261 0.718
O2 0.261 0.718 0.261
O3 0.282 0.739 0.739
O4 0.718 0.261 0.261
O5 0.739 0.282 0.739
O6 0.739 0.739 0.282